1.
Density functional theory data (GGA-PBE) for a relaxed structure of Sc2AgRu.

As for the formation energy: -0.279 eV/atom.

Geometry as CIF:
```
data_Sc2AgRu
_cell_length_a 10.030
_cell_length_b 3.280
_cell_length_c 4.724
_cell_angle_alpha 90.00
_cell_angle_beta 105.99
_cell_angle_gamma 90.00
_space_group_name_H-M_alt 'C 1 m 1'
_space_group_IT_number 8
loop_
_space_group_symop_operation_xyz
'x,y,z'
'x,-y,z'
'x+1/2,y+1/2,z'
'x+1/2,-y+1/2,z'
loop_
_atom_site_label
_atom_site_type_symbol
_atom_site_fract_x
_atom_site_fract_y
_atom_site_fract_z
Sc1 Sc 0.000 0.000 0.000
Sc2 Sc 0.222 0.000 0.630
Ag1 Ag 0.469 0.000 0.468
Ru1 Ru 0.225 0.500 0.103
```

2.
Density functional theory data (GGA-PBE) for a relaxed structure of Ca2Cu2Ge.

As for the formation energy: -0.167 eV/atom.

Geometry as CIF:
```
data_Ca2Cu2Ge
_cell_length_a 5.659
_cell_length_b 5.659
_cell_length_c 7.088
_cell_angle_alpha 90.00
_cell_angle_beta 90.00
_cell_angle_gamma 90.00
_space_group_name_H-M_alt 'I 4/m m m'
_space_group_IT_number 139
_space_group_name_Hall '-I 4 2'
loop_
_atom_site_label
_atom_site_type_symbol
_atom_site_fract_x
_atom_site_fract_y
_atom_site_fract_z
Ca1 Ca 0.000 0.500 0.250
Cu1 Cu 0.000 0.000 0.162
Ge1 Ge 0.000 0.000 0.500
```

3.
Density functional theory data (GGA-PBE) for a relaxed structure of Pm14NdTm.

As for the formation energy: 0.014 eV/atom.

Geometry as CIF:
```
data_Pm14NdTm
_cell_length_a 10.284
_cell_length_b 10.305
_cell_length_c 10.307
_cell_angle_alpha 90.00
_cell_angle_beta 90.00
_cell_angle_gamma 90.00
_space_group_name_H-M_alt 'A m m 2'
_space_group_IT_number 38
loop_
_space_group_symop_operation_xyz
'x,y,z'
'-x,-y,z'
'-x,y,z'
'x,-y,z'
'x,y+1/2,z+1/2'
'-x,-y+1/2,z+1/2'
'-x,y+1/2,z+1/2'
'x,-y+1/2,z+1/2'
loop_
_atom_site_label
_atom_site_type_symbol
_atom_site_fract_x
_atom_site_fract_y
_atom_site_fract_z
Pm1 Pm 0.000 0.000 0.000
Pm2 Pm 0.000 0.000 0.499
Pm3 Pm 0.000 0.250 0.250
Pm4 Pm 0.251 0.000 0.248
Pm5 Pm 0.251 0.000 0.751
Pm6 Pm 0.251 0.249 0.000
Pm7 Pm 0.500 0.250 0.250
Nd1 Nd 0.500 0.000 0.500
Tm1 Tm 0.500 0.000 0.000
```

Q: Which formula does entry 2 have?
A: Ca2Cu2Ge